(1)
A relaxed Tb3ErTl2 crystal. Source: Alexandria, functional PBE.

a = 5.108 Å, b = 6.781 Å, c = 10.018 Å
α = 90.00°, β = 90.00°, γ = 90.00°
Element x y z (fractional)
Tb  0.000  0.455  0.961
Tb  0.000  0.955  0.039
Tb  0.500  0.678  0.188
Tb  0.500  0.178  0.812
Tb  0.000  0.323  0.316
Tb  0.000  0.823  0.684
Er  0.500  0.544  0.540
Er  0.500  0.044  0.460
Tl  0.500  0.708  0.865
Tl  0.500  0.208  0.135
Tl  0.000  0.293  0.635
Tl  0.000  0.793  0.365

Calculated values
Space-group type: Pmc2_1
Formation energy from the elements, eV/f.u.: -1.61



(2)
A relaxed Ta6TcMo3 crystal. Source: Alexandria, functional PBE.

a = 4.579 Å, b = 7.931 Å, c = 9.711 Å
α = 105.58°, β = 90.00°, γ = 90.00°
Element x y z (fractional)
Ta  0.250  0.455  0.101
Ta  0.750  0.545  0.899
Ta  0.250  0.151  0.200
Ta  0.750  0.849  0.800
Ta  0.250  0.645  0.696
Ta  0.750  0.355  0.304
Ta  0.250  0.247  0.503
Ta  0.750  0.753  0.497
Ta  0.250  0.849  0.304
Ta  0.750  0.151  0.696
Ta  0.250  0.054  0.897
Ta  0.750  0.946  0.103
Tc  0.250  0.950  0.599
Tc  0.750  0.050  0.401
Mo  0.250  0.548  0.399
Mo  0.750  0.452  0.601
Mo  0.250  0.350  0.800
Mo  0.750  0.650  0.200
Mo  0.250  0.754  0.000
Mo  0.750  0.246  0.000

Calculated values
Space-group type: P2_1/m
Formation energy from the elements, eV/f.u.: -2.20



(3)
A relaxed MgTl2Hg crystal. Source: Alexandria, functional PBE.

a = 10.096 Å, b = 10.096 Å, c = 10.096 Å
α = 20.20°, β = 20.20°, γ = 20.20°
Element x y z (fractional)
Mg  0.754  0.754  0.754
Tl  0.007  0.007  0.007
Tl  0.247  0.247  0.247
Hg  0.493  0.493  0.493

Calculated values
Space-group type: R3m
Formation energy from the elements, eV/f.u.: -0.13



(4)
A relaxed YTi2Pt crystal. Source: Alexandria, functional PBE.

a = 4.602 Å, b = 4.602 Å, c = 8.970 Å
α = 90.00°, β = 90.00°, γ = 120.00°
Element x y z (fractional)
Y  0.333  0.667  0.881
Y  0.000  0.000  0.619
Pt  0.333  0.667  0.483
Pt  0.667  0.333  0.752
Ti  0.667  0.333  0.385
Ti  0.667  0.333  0.081
Ti  0.333  0.667  0.209
Ti  0.000  0.000  0.223

Calculated values
Space-group type: P3m1
Formation energy from the elements, eV/f.u.: -1.87



(5)
A relaxed SmZnBi2 crystal. Source: Alexandria, functional PBE.

a = 4.421 Å, b = 4.421 Å, c = 7.563 Å
α = 73.01°, β = 73.01°, γ = 60.00°
Element x y z (fractional)
Zn  0.000  0.000  0.000
Bi  0.261  0.261  0.218
Bi  0.739  0.739  0.782
Sm  0.500  0.500  0.500

Calculated values
Space-group type: R-3m
Formation energy from the elements, eV/f.u.: -0.63



(6)
A relaxed AlRuF3 crystal. Source: Alexandria, functional PBE.

a = 3.944 Å, b = 3.944 Å, c = 3.944 Å
α = 90.00°, β = 90.00°, γ = 90.00°
Element x y z (fractional)
Ru  0.500  0.500  0.500
Al  0.000  0.000  0.000
F  0.000  0.500  0.000
F  0.000  0.000  0.500
F  0.500  0.000  0.000

Calculated values
Space-group type: Pm-3m
E, eV/atom: -4.979



(7)
A relaxed Pm3MgRh crystal. Source: Alexandria, functional PBE.

a = 6.732 Å, b = 10.029 Å, c = 9.646 Å
α = 121.28°, β = 90.00°, γ = 90.00°
Element x y z (fractional)
Pm  0.000  0.703  0.907
Pm  0.000  0.297  0.093
Pm  0.500  0.797  0.093
Pm  0.500  0.203  0.907
Pm  0.500  0.417  0.720
Pm  0.500  0.583  0.280
Pm  0.000  0.083  0.280
Pm  0.000  0.917  0.720
Pm  0.000  0.303  0.719
Pm  0.000  0.697  0.281
Pm  0.500  0.197  0.281
Pm  0.500  0.803  0.719
Mg  0.795  0.500  0.500
Mg  0.205  0.500  0.500
Mg  0.295  0.000  0.500
Mg  0.705  0.000  0.500
Rh  0.250  0.500  0.000
Rh  0.750  0.500  0.000
Rh  0.750  0.000  0.000
Rh  0.250  0.000  0.000

Calculated values
Space-group type: Fmmm
Formation energy from the elements, eV/f.u.: -1.63



(8)
A relaxed GdScBi2 crystal. Source: Alexandria, functional PBE.

a = 4.396 Å, b = 4.396 Å, c = 7.597 Å
α = 73.18°, β = 73.18°, γ = 60.00°
Element x y z (fractional)
Sc  0.000  0.000  0.000
Gd  0.500  0.500  0.500
Bi  0.256  0.256  0.233
Bi  0.744  0.744  0.767

Calculated values
Space-group type: R-3m
Formation energy from the elements, eV/f.u.: -3.12



(9)
A relaxed BeAsPt2 crystal. Source: Alexandria, functional PBE.

a = 8.201 Å, b = 8.201 Å, c = 8.201 Å
α = 20.29°, β = 20.29°, γ = 20.29°
Element x y z (fractional)
Be  0.750  0.750  0.750
As  0.250  0.250  0.250
Pt  0.012  0.012  0.012
Pt  0.488  0.488  0.488

Calculated values
Space-group type: R-3m
Formation energy from the elements, eV/f.u.: -0.94



(10)
A relaxed Ni2IrRh2 crystal. Source: Alexandria, functional PBE.

a = 2.680 Å, b = 2.680 Å, c = 10.731 Å
α = 82.83°, β = 82.83°, γ = 60.00°
Element x y z (fractional)
Ni  0.197  0.197  0.409
Ni  0.803  0.803  0.591
Ir  0.000  0.000  0.000
Rh  0.596  0.596  0.211
Rh  0.404  0.404  0.789

Calculated values
Space-group type: R-3m
Formation energy from the elements, eV/f.u.: 0.29



(11)
A relaxed Re2As crystal. Source: Alexandria, functional PBE.

a = 4.125 Å, b = 4.125 Å, c = 4.125 Å
α = 60.00°, β = 60.00°, γ = 60.00°
Element x y z (fractional)
Re  0.750  0.750  0.750
Re  0.250  0.250  0.250
As  0.000  0.000  0.000

Calculated values
Space-group type: Fm-3m
Formation energy from the elements, eV/f.u.: 2.58



(12)
A relaxed Pa4Cl3O7 crystal. Source: Alexandria, functional PBE.

a = 4.370 Å, b = 7.066 Å, c = 8.225 Å
α = 80.28°, β = 74.59°, γ = 71.99°
Element x y z (fractional)
Pa  0.689  0.430  0.191
Pa  0.311  0.570  0.809
Pa  0.939  0.870  0.252
Pa  0.061  0.130  0.748
Cl  0.341  0.179  0.139
Cl  0.659  0.821  0.861
Cl  0.000  0.500  0.500
O  0.254  0.853  0.638
O  0.504  0.264  0.729
O  0.845  0.410  0.900
O  0.746  0.147  0.362
O  0.155  0.590  0.100
O  0.000  0.000  0.000
O  0.496  0.736  0.271

Calculated values
Space-group type: C2/m
E, eV/atom: -8.456



(13)
A relaxed NaNd2F crystal. Source: Alexandria, functional PBE.

a = 3.514 Å, b = 3.514 Å, c = 10.877 Å
α = 80.70°, β = 80.70°, γ = 60.00°
Element x y z (fractional)
Na  0.000  0.000  0.000
Nd  0.111  0.111  0.667
Nd  0.889  0.889  0.333
F  0.500  0.500  0.500

Calculated values
Space-group type: R-3m
E, eV/atom: -4.069



(14)
A relaxed Ti2BiCO crystal. Source: Alexandria, functional PBE.

a = 5.323 Å, b = 4.319 Å, c = 5.323 Å
α = 90.00°, β = 90.00°, γ = 90.00°
Element x y z (fractional)
C  0.000  0.500  0.000
Bi  0.000  0.000  0.000
O  0.500  0.500  0.500
Ti  0.000  0.000  0.500
Ti  0.500  0.000  0.000

Calculated values
Space-group type: P4/mmm
E, eV/atom: -4.719



(15)
A relaxed TaRe2PbCl crystal. Source: Alexandria, functional PBE.

a = 5.138 Å, b = 5.390 Å, c = 5.138 Å
α = 90.00°, β = 90.00°, γ = 90.00°
Element x y z (fractional)
Pb  0.000  0.000  0.000
Re  0.000  0.000  0.500
Re  0.500  0.000  0.000
Cl  0.500  0.500  0.500
Ta  0.000  0.500  0.000

Calculated values
Space-group type: P4/mmm
E, eV/atom: -5.427



(16)
A relaxed YZrF3 crystal. Source: Alexandria, functional PBE.

a = 4.470 Å, b = 4.470 Å, c = 4.470 Å
α = 90.00°, β = 90.00°, γ = 90.00°
Element x y z (fractional)
Y  0.500  0.500  0.500
Zr  0.000  0.000  0.000
F  0.000  0.500  0.000
F  0.000  0.000  0.500
F  0.500  0.000  0.000

Calculated values
Space-group type: Pm-3m
E, eV/atom: -6.077



(17)
A relaxed Te2Pb3Br2O6 crystal. Source: Alexandria, functional PBE.

a = 9.112 Å, b = 9.112 Å, c = 11.319 Å
α = 75.29°, β = 75.29°, γ = 36.85°
Element x y z (fractional)
Te  0.600  0.600  0.946
Te  0.400  0.400  0.054
Te  0.870  0.870  0.586
Te  0.130  0.130  0.414
Pb  0.258  0.258  0.791
Pb  0.742  0.742  0.209
Pb  0.024  0.024  0.800
Pb  0.976  0.976  0.200
Pb  0.665  0.665  0.610
Pb  0.335  0.335  0.390
Br  0.817  0.817  0.899
Br  0.183  0.183  0.101
Br  0.459  0.459  0.697
Br  0.541  0.541  0.303
O  0.863  0.399  0.814
O  0.399  0.863  0.814
O  0.137  0.601  0.186
O  0.601  0.137  0.186
O  0.714  0.286  0.000
O  0.286  0.714  0.000
O  0.891  0.891  0.413
O  0.109  0.109  0.587
O  0.029  0.551  0.612
O  0.551  0.029  0.612
O  0.971  0.449  0.388
O  0.449  0.971  0.388

Calculated values
Space-group type: C2/m
E, eV/atom: -5.003



(18)
A relaxed NaCd11Au crystal. Source: Alexandria, functional PBE.

a = 5.958 Å, b = 7.731 Å, c = 7.750 Å
α = 81.09°, β = 67.39°, γ = 66.23°
Element x y z (fractional)
Na  0.000  0.000  0.000
Cd  0.295  0.215  0.212
Cd  0.705  0.785  0.788
Cd  0.493  0.785  0.212
Cd  0.507  0.215  0.788
Cd  0.362  0.646  0.654
Cd  0.638  0.354  0.346
Cd  0.985  0.354  0.654
Cd  0.015  0.646  0.346
Cd  0.000  0.500  0.000
Cd  0.500  0.000  0.500
Cd  0.000  0.000  0.500
Au  0.500  0.500  0.000

Calculated values
Space-group type: C2/m
Formation energy from the elements, eV/f.u.: -0.67



(19)
A relaxed Pm12DyTm5 crystal. Source: Alexandria, functional PBE.

a = 11.224 Å, b = 10.582 Å, c = 5.918 Å
α = 89.99°, β = 89.99°, γ = 57.97°
Element x y z (fractional)
Pm  0.836  0.000  0.498
Pm  0.164  0.000  0.502
Pm  0.664  0.000  0.998
Pm  0.336  0.000  0.002
Pm  0.329  0.661  0.998
Pm  0.010  0.661  0.002
Pm  0.990  0.339  0.998
Pm  0.671  0.339  0.002
Pm  0.492  0.337  0.502
Pm  0.828  0.663  0.502
Pm  0.172  0.337  0.498
Pm  0.508  0.663  0.498
Dy  0.000  0.000  0.000
Tm  0.500  0.000  0.500
Tm  0.165  0.671  0.500
Tm  0.835  0.329  0.500
Tm  0.664  0.673  0.000
Tm  0.336  0.327  0.000

Calculated values
Space-group type: C2/m
Formation energy from the elements, eV/f.u.: 1.14



(20)
A relaxed NiPb2Br crystal. Source: Alexandria, functional PBE.

a = 5.231 Å, b = 5.231 Å, c = 5.231 Å
α = 60.00°, β = 60.00°, γ = 60.00°
Element x y z (fractional)
Br  0.500  0.500  0.500
Ni  0.750  0.750  0.750
Pb  0.000  0.000  0.000
Pb  0.250  0.250  0.250

Calculated values
Space-group type: F-43m
E, eV/atom: -3.274



Number 1: total magnetization 0.00 μB/f.u.. Number 2: total magnetization 0.00 μB/f.u.. Number 3: total magnetization 0.00 μB/f.u.. Number 4: total magnetization 0.00 μB/f.u.. Number 5: total magnetization 0.00 μB/f.u.. Number 6: total magnetization 2.49 μB/f.u.. Number 7: total magnetization 0.00 μB/f.u.. Number 8: total magnetization 7.02 μB/f.u.. Number 9: total magnetization 0.00 μB/f.u.. Number 10: total magnetization 1.35 μB/f.u.. Number 11: total magnetization 0.00 μB/f.u.. Number 12: total magnetization 3.07 μB/f.u.. Number 13: total magnetization 0.00 μB/f.u.. Number 14: total magnetization 2.99 μB/f.u.. Number 15: total magnetization 3.02 μB/f.u.. Number 16: total magnetization 3.45 μB/f.u.. Number 17: total magnetization 0.00 μB/f.u.. Number 18: total magnetization 0.00 μB/f.u.. Number 19: total magnetization 0.00 μB/f.u.. Number 20: total magnetization 0.00 μB/f.u..